No. 1
An optimized crystal structure of SrAcPmY. Source: Alexandria, functional PBE.

Its formation energy is 186 meV per atom. As for the density of states at the Fermi level: 6.47 states/eV/f.u. The value obtained for the total energy is -4.07 eV/atom.

It has space group F-43m (No. 216), with a = 8.6214 Å, b = 8.6214 Å, c = 8.6214 Å, α = 90.00°, β = 90.00° and γ = 90.00°. The asymmetric unit holds Sr at (0.0000, 0.0000, 0.0000), Ac at (0.2500, 0.2500, 0.7500), Pm at (0.2500, 0.2500, 0.2500) and Y at (0.0000, 0.0000, 0.5000).


No. 2
An optimized crystal structure of LaErCdOs. Source: Alexandria, functional PBE.

Its formation energy is -115 meV per atom. As for the density of states at the Fermi level: 3.78 states/eV/f.u. The value obtained for the total energy is -5.52 eV/atom.

It has space group F-43m (No. 216), with a = 7.2489 Å, b = 7.2489 Å, c = 7.2489 Å, α = 90.00°, β = 90.00° and γ = 90.00°. The asymmetric unit holds La at (0.0000, 0.0000, 0.0000), Er at (0.0000, 0.0000, 0.5000), Cd at (0.2500, 0.2500, 0.2500) and Os at (0.2500, 0.2500, 0.7500).


No. 3
An optimized crystal structure of K2SmGeO4. Source: Alexandria, functional PBE.

The value obtained for the raw formation energy is -1951 meV per atom. As for the density of states at the Fermi level: 1.11 states/eV/f.u. The value obtained for the total energy is -5.87 eV/atom.

It has space group I-4 (No. 82), with a = 5.9010 Å, b = 5.9010 Å, c = 9.3570 Å, α = 90.00°, β = 90.00° and γ = 90.00°. The asymmetric unit holds K at (0.0000, 0.0000, 0.0000), K at (0.0000, 0.5000, 0.2500), Sm at (0.0000, 0.0000, 0.5000), Ge at (0.0000, 0.5000, 0.7500) and O at (0.1338, 0.2775, 0.6391).